DFT (PBE-GGA) results for a relaxed Sr2Ag3Bi2 crystal.

Structure (extended XYZ):
```
7
Lattice="5.932 -2.460 0.000 5.932 2.460 0.000 -2.467 0.000 6.825" Properties=species:S:1:pos:R:3 pbc="T T T"
Sr 1.053 0.000 1.695
Sr 8.344 0.000 5.130
Ag 4.642 0.000 0.526
Ag 4.698 0.000 3.413
Ag 4.755 0.000 6.300
Bi -0.010 0.000 5.060
Bi 9.407 0.000 1.765
```

Properties
Space-group type: C2/m (12)
E_form, eV/atom: -0.40